Entry from the Alexandria database: a relaxed structure of CuSnSb2H (PBEsol).

Summary:
Volume ... 96 Å³/f.u.
SG ... P4/mmm
DFT total energy ... -18.50 eV/f.u.
Density of states at the Fermi level ... 2.168 states/eV/f.u.

Unit cell a=4.5443 b=4.5443 c=4.6475 alpha=90.00 beta=90.00 gamma=90.00
Atoms (fractional coordinates):
1 Cu 0.0000 0.0000 0.0000
2 Sn 0.5000 0.5000 0.0000
3 Sb 0.0000 0.5000 0.5000
4 Sb 0.5000 0.0000 0.5000
5 H 0.5000 0.5000 0.5000

Entry from the Alexandria database: a relaxed structure of ScNi2W (PBEsol).

Summary:
Volume ... 54 Å³/f.u.
SG ... F-43m
DFT total energy ... -31.85 eV/f.u.
Density of states at the Fermi level ... 4.747 states/eV/f.u.
Offset from the most stable computed form ... 0.348 eV/atom

Unit cell a=4.2427 b=4.2427 c=4.2427 alpha=60.00 beta=60.00 gamma=60.00
Atoms (fractional coordinates):
1 Sc 0.0000 0.0000 0.0000
2 Ni 0.2500 0.2500 0.2500
3 Ni 0.5000 0.5000 0.5000
4 W 0.7500 0.7500 0.7500

Entry from the Alexandria database: a relaxed structure of IrAu2Cl (PBEsol).

Summary:
Volume ... 66 Å³/f.u.
SG ... I4/mmm
Uncorrected formation energy ... 0.864 eV/atom
DFT total energy ... -16.22 eV/f.u.
Density of states at the Fermi level ... 4.399 states/eV/f.u.
Offset from the most stable computed form ... 0.369 eV/atom

Unit cell a=5.1973 b=5.1973 c=5.1973 alpha=136.20 beta=136.20 gamma=63.67
Atoms (fractional coordinates):
1 Ir 0.0000 0.0000 0.0000
2 Au 0.2500 0.7500 0.5000
3 Au 0.7500 0.2500 0.5000
4 Cl 0.5000 0.5000 0.0000

Entry from the Alexandria database: a relaxed structure of TcHg4Sb (PBEsol).

Summary:
Volume ... 127 Å³/f.u.
SG ... F-43m
Uncorrected formation energy ... 0.719 eV/atom
DFT total energy ... -13.78 eV/f.u.
Density of states at the Fermi level ... 5.815 states/eV/f.u.

Unit cell a=5.6462 b=5.6462 c=5.6462 alpha=60.00 beta=60.00 gamma=60.00
Atoms (fractional coordinates):
1 Tc 0.0000 0.0000 0.0000
2 Hg 0.3745 0.3745 0.3745
3 Hg 0.3745 0.3745 0.8766
4 Hg 0.3745 0.8766 0.3745
5 Hg 0.8766 0.3745 0.3745
6 Sb 0.7500 0.7500 0.7500

Entry from the Alexandria database: a relaxed structure of La2YCd (PBEsol).

Summary:
Volume ... 117 Å³/f.u.
SG ... I-4m2
DFT total energy ... -19.12 eV/f.u.
Density of states at the Fermi level ... 5.133 states/eV/f.u.

Unit cell a=6.0405 b=6.0405 c=6.0405 alpha=132.74 beta=132.74 gamma=69.06
Atoms (fractional coordinates):
1 La 0.0000 0.0000 0.0000
2 La 0.7500 0.2500 0.5000
3 Y 0.5000 0.5000 0.0000
4 Cd 0.2500 0.7500 0.5000

Entry from the Alexandria database: a relaxed structure of Mg2HgIr (PBEsol).

Summary:
Volume ... 69 Å³/f.u.
SG ... P4/mmm
DFT total energy ... -15.05 eV/f.u.
Density of states at the Fermi level ... 1.237 states/eV/f.u.
Offset from the most stable computed form ... 0.000 eV/atom

Unit cell a=3.1656 b=3.1656 c=6.9017 alpha=90.00 beta=90.00 gamma=90.00
Atoms (fractional coordinates):
1 Mg 0.0000 0.0000 0.2127
2 Mg 0.0000 0.0000 0.7873
3 Hg 0.5000 0.5000 0.5000
4 Ir 0.5000 0.5000 0.0000

Entry from the Alexandria database: a relaxed structure of ScReB2 (PBEsol).

Summary:
Volume ... 57 Å³/f.u.
SG ... I4_1/amd
DFT total energy ... -33.31 eV/f.u.
Density of states at the Fermi level ... 1.069 states/eV/f.u.
Offset from the most stable computed form ... 0.053 eV/atom

Unit cell a=7.7633 b=7.7633 c=7.7633 alpha=150.29 beta=150.29 gamma=42.51
Atoms (fractional coordinates):
1 Sc 0.3750 0.6250 0.7500
2 Sc 0.6250 0.3750 0.2500
3 Re 0.1250 0.8750 0.2500
4 Re 0.8750 0.1250 0.7500
5 B 0.0000 0.0000 0.0000
6 B 0.0000 0.0000 0.5000
7 B 0.0000 0.5000 0.0000
8 B 0.5000 0.0000 0.5000

Entry from the Alexandria database: a relaxed structure of KCr5 (PBEsol).

Summary:
Volume ... 104 Å³/f.u.
SG ... Amm2
DFT total energy ... -47.17 eV/f.u.
Density of states at the Fermi level ... 6.901 states/eV/f.u.

Unit cell a=3.8978 b=9.4523 c=9.4523 alpha=17.36 beta=90.00 gamma=90.00
Atoms (fractional coordinates):
1 K 0.0000 0.0000 0.0000
2 Cr 0.0000 0.3273 0.3273
3 Cr 0.0000 0.7149 0.7149
4 Cr 0.5000 0.2311 0.2311
5 Cr 0.5000 0.6432 0.6432
6 Cr 0.5000 0.8359 0.8359

Number 1: density 7.38 g cm⁻³, total magnetization 0.0 μB per formula unit. Number 2: density 10.64 g cm⁻³, total magnetization 0.0 μB per formula unit. Number 3: density 15.55 g cm⁻³, total magnetization 0.0 μB per formula unit. Number 4: density 13.33 g cm⁻³, total magnetization 1.9 μB per formula unit. Number 5: density 6.82 g cm⁻³, total magnetization 0.0 μB per formula unit. Number 6: density 10.60 g cm⁻³, total magnetization 0.0 μB per formula unit. Number 7: density 7.32 g cm⁻³, total magnetization 0.0 μB per formula unit. Number 8: density 4.78 g cm⁻³, total magnetization 0.1 μB per formula unit.